Entry 1:
VASP calculation (PBE) on crystalline Pr2MgHPd6 at its relaxed geometry.

## Properties
- total DFT energy (no corrections) (eV/atom) = -5.18
- calculated density (g/cm3) = 8.7

Unit cell a=5.799 b=5.804 c=7.046 alpha=65.76 beta=65.89 gamma=60.12
Space group P-1 (No. 2)
One atom of each set of equivalent atoms:
Pr (0.230, 0.232, 0.309) x2
Mg (0.500, 0.500, 0.500) x1
H (0.000, 0.000, 0.000) x1
Pd (0.227, 0.725, 0.819) x2
Pd (0.228, 0.226, 0.816) x2
Pd (0.271, 0.775, 0.183) x2

***

Entry 2:
VASP calculation (PBE) on crystalline PrMgH6Pd2 at its relaxed geometry.

## Properties
- total DFT energy (no corrections) (eV/atom) = -4.03
- calculated density (g/cm3) = 6.3

Unit cell a=4.6237 b=4.6237 c=16.3730 alpha=90.00 beta=90.00 gamma=120.00
Space group R-3m (No. 166, hexagonal axes)
One atom of each set of equivalent atoms:
Pr (0.0000, 0.0000, 0.0000) x3
Mg (0.0000, 0.0000, 0.5000) x3
H (0.0115, 0.5057, 0.0640) x18
Pd (0.0000, 0.0000, 0.2101) x6

***

Entry 3:
VASP calculation (PBE) on crystalline PrMgH6Pd4 at its relaxed geometry.

## Properties
- total DFT energy (no corrections) (eV/atom) = -4.26
- calculated density (g/cm3) = 7.2

Unit cell a=4.7613 b=4.7613 c=6.9657 alpha=90.00 beta=90.00 gamma=120.00
Space group P6/mmm (No. 191)
One atom of each set of equivalent atoms:
Pr (0.0000, 0.0000, 0.0000) x1
Mg (0.0000, 0.0000, 0.5000) x1
H (0.0000, 0.5000, 0.1480) x6
Pd (0.3333, 0.6667, 0.3061) x4